VASP calculation (GGA-PBE) on a relaxed KMn2Au crystal.

Cell lengths 5.2445, 5.2445, 9.7760 Å; angles 74.44, 74.44, 90.00 degrees
With the nearest neighbours (Å) after each atom.
Fractional positions:
Au 0.7500 0.2500 0.5000  4 Mn 2.61
Au 0.0000 0.0000 0.0000  4 Mn 2.61
Mn 0.8750 0.1249 0.7500  2 Au 2.61, 2 Mn 2.62
Mn 0.8749 0.1250 0.2500  2 Au 2.61, 2 Mn 2.62
Mn 0.8751 0.6250 0.2500  2 Au 2.61, 2 Mn 2.62
Mn 0.3750 0.1251 0.7500  2 Au 2.61, 2 Mn 2.62
K 0.5000 0.5000 0.0000  8 Mn 3.70, 4 Au 3.71
K 0.2500 0.7500 0.5000  8 Mn 3.70, 4 Au 3.71

Properties
Its formation energy is 0.668 eV/atom. As for the calculated volume: 31.098 Å³/atom. Its polymorph energy (0 for the lowest one) is 271.1 meV per atom.

=====

VASP calculation (GGA-PBE) on a relaxed YHSe crystal.

Cell lengths 3.8452, 3.8452, 3.9181 Å; angles 90.00, 90.00, 120.00 degrees
With the nearest neighbours (Å) after each atom.
Fractional positions:
Y 0.0000 0.0000 0.0000  3 H 2.22
Se 0.3333 0.6667 0.5000  6 H 2.96, 6 Y 2.96
H 0.6667 0.3333 0.0000  3 Y 2.22

Properties
As for the calculated volume: 16.723 Å³/atom. Its polymorph energy (0 for the lowest one) is 0.0 meV per atom.

=====

VASP calculation (GGA-PBE) on a relaxed Li10SiP2S12 crystal.

Cell lengths 8.6486, 8.8296, 12.9954 Å; angles 91.65, 89.41, 90.06 degrees
With the nearest neighbours (Å) after each atom.
Fractional positions:
S 0.2977 0.0248 0.2188  1 P 2.06
S 0.2895 0.9897 0.9002  1 Si 2.17
S 0.8211 0.4978 0.5944  1 P 2.06
S 0.9959 0.6991 0.1061  1 Si 2.16
S 0.9964 0.6669 0.7920  1 P 2.06
S 0.2939 0.5207 0.9025  1 P 2.06
S 0.6992 0.9892 0.9111  1 Si 2.12
S 0.1898 0.4747 0.2837  1 Si 2.15
S 0.8037 0.9493 0.5900  1 P 2.03
S 0.0152 0.7948 0.3916  1 P 2.07
S 0.1967 0.9565 0.5868  1 P 2.07
S 0.4971 0.1778 0.4180  1 P 2.06
S 0.4933 0.7998 0.7054  1 Si 2.15
S 0.0025 0.2998 0.0710  1 Si 2.16
S 0.4883 0.3081 0.0658  1 P 2.04
S 0.4834 0.6940 0.0951  1 P 2.05
S 0.4925 0.7970 0.3748  1 P 2.06
S 0.2157 0.4884 0.6044  1 P 2.07
S 0.6795 0.5279 0.9001  1 P 2.07
S 0.6899 0.0148 0.2170  1 P 2.07
S 0.9998 0.2833 0.7640  1 P 2.08
S 0.7875 0.4690 0.2726  1 Si 2.14
S 0.5165 0.1932 0.7235  1 Si 2.17
S 0.9893 0.1786 0.4388  1 P 2.04
Li 0.2518 0.2821 0.1547  4 S 2.35-2.48
Li 0.7864 0.2186 0.6298  4 S 2.42-2.63
Li 0.7392 0.2717 0.1365  4 S 2.39-2.56
Li 0.9686 0.5144 0.4250  4 S 2.54-2.65
Li 0.2335 0.2267 0.3631  4 S 2.36-2.61
Li 0.2439 0.2155 0.6564  4 S 2.47-2.58
Li 0.2507 0.7257 0.4872  4 S 2.43-2.64
Li 0.2023 0.2545 0.9165  4 S 2.46-2.68
Li 0.2151 0.8240 0.7495  4 S 2.41-2.50
Li 0.7220 0.2523 0.8584  4 S 2.45-2.70
Li 0.2494 0.7426 0.2445  3 S 2.49-2.75
Li 0.2380 0.7573 0.0008  4 S 2.46-2.55
Li 0.4889 0.0009 0.0454  5 S 2.51-2.80
Li 0.7673 0.7385 0.6995  4 S 2.39-2.53
Li 0.7568 0.2175 0.3485  4 S 2.37-2.51
Li 0.7649 0.7541 0.2853  4 S 2.53-2.64
Li 0.9773 0.5150 0.9540  4 S 2.48-2.68
Li 0.4647 0.5254 0.7533  3 S 2.43-2.68
Li 0.7399 0.7596 0.0120  4 S 2.47-2.60
Li 0.5159 0.9682 0.5485  5 S 2.55-2.80
P 0.9967 0.9686 0.5008  4 S 2.03-2.07
P 0.4923 0.0055 0.3080  4 S 2.06-2.07
P 0.4868 0.5105 0.9942  4 S 2.04-2.07
P 0.0111 0.4870 0.6880  4 S 2.06-2.08
Si 0.9949 0.4858 0.1831  4 S 2.14-2.16
Si 0.5044 0.9898 0.8128  4 S 2.12-2.17

Properties
As for the calculated volume: 19.838 Å³/atom. Its polymorph energy (0 for the lowest one) is 0.0 meV per atom.

=====

VASP calculation (GGA-PBE) on a relaxed HfSn2Sb2 crystal.

Cell lengths 4.0269, 4.0269, 9.2979 Å; angles 77.49, 77.49, 90.00 degrees
With the nearest neighbours (Å) after each atom.
Fractional positions:
Sb 0.7500 0.2500 0.5000  4 Sb 2.85
Sb 0.2500 0.7500 0.5000  4 Sb 2.85
Sn 0.4160 0.4160 0.1680  1 Sn 2.97, 4 Hf 3.21
Sn 0.5840 0.5840 0.8320  1 Sn 2.97, 4 Hf 3.21
Hf 0.0000 0.0000 0.0000  8 Sn 3.21

Properties
As for the calculated volume: 28.706 Å³/atom. Its polymorph energy (0 for the lowest one) is 298.6 meV per atom.

=====

VASP calculation (GGA-PBE) on a relaxed Ag2OsSe crystal.

Cell lengths 5.5223, 5.5223, 5.5223 Å; angles 139.93, 139.93, 57.95 degrees
With the nearest neighbours (Å) after each atom.
Fractional positions:
Os 0.2500 0.7500 0.5000  4 Se 2.68
Se 0.7500 0.2500 0.5000  4 Os 2.68
Ag 0.5000 0.5000 0.0000  4 Ag 2.68
Ag 0.0000 0.0000 0.0000  4 Ag 2.68

Properties
As for the total DFT energy (no corrections): -4.2764 eV per atom. As for the calculated volume: 17.288 Å³/atom.

=====

VASP calculation (GGA-PBE) on a relaxed Nd4In2Ag3 crystal.

Cell lengths 5.0603, 5.8143, 9.3857 Å; angles 75.77, 90.00, 64.21 degrees
With the nearest neighbours (Å) after each atom.
Fractional positions:
Nd 0.6408 0.7184 0.8975  3 Ag 3.12-3.21, 3 In 3.35-3.44
Nd 0.3592 0.2816 0.1025  3 Ag 3.12-3.21, 3 In 3.35-3.44
Nd 0.0624 0.8752 0.3500  4 Ag 3.04-3.19, 3 In 3.29-3.35
Nd 0.9376 0.1248 0.6500  4 Ag 3.04-3.19, 3 In 3.29-3.35
In 0.2696 0.4610 0.7310  3 Ag 3.10-3.18, 6 Nd 3.29-3.44
In 0.7304 0.5390 0.2690  3 Ag 3.10-3.18, 6 Nd 3.29-3.44
Ag 0.0000 0.0000 0.0000  6 Nd 3.17-3.21
Ag 0.6357 0.7286 0.5632  1 Ag 2.76, 1 Nd 3.04
Ag 0.3643 0.2714 0.4368  1 Ag 2.76, 1 Nd 3.04

Properties
Its formation energy is -0.324 eV/atom. As for the calculated volume: 26.577 Å³/atom.